(1)
{
  "formula": "TaCdFeAs",
  "functional": "GGA-PBE",
  "state": "optimized geometry",
  "energy_ev_per_atom": -5.967,
  "spacegroup": "F-43m",
  "de_polymorph_ev_per_atom": 0.0000,
  "lattice": [[0.000, 3.192, 3.192], [3.192, 0.000, 3.192], [3.192, 3.192, 0.000]],
  "species": ["Ta", "Cd", "Fe", "As"],
  "frac_coords": [[0.000, 0.000, 0.000], [0.750, 0.750, 0.750], [0.500, 0.500, 0.500], [0.250, 0.250, 0.250]]
}

---

(2)
{
  "formula": "HfPtAu",
  "functional": "GGA-PBE",
  "state": "optimized geometry",
  "energy_ev_per_atom": -7.353,
  "spacegroup": "P4/nmm",
  "formation_enthalpy_0k_ev_per_atom": -0.9266,
  "de_polymorph_ev_per_atom": 0.0000,
  "lattice": [[3.519, 0.000, 0.000], [0.000, 3.519, 0.000], [0.000, 0.000, 8.710]],
  "species": ["Hf", "Hf", "Pt", "Pt", "Au", "Au"],
  "frac_coords": [[0.250, 0.250, 0.235], [0.750, 0.750, 0.765], [0.250, 0.250, 0.909], [0.750, 0.750, 0.091], [0.250, 0.250, 0.584], [0.750, 0.750, 0.416]]
}

---

(3)
{
  "formula": "Li3NdEr2Pb3",
  "functional": "GGA-PBE",
  "state": "optimized geometry",
  "energy_ev_per_atom": -3.890,
  "spacegroup": "P-6m2",
  "lattice": [[4.763, 0.000, 0.000], [-2.382, 4.125, 0.000], [0.000, 0.000, 11.124]],
  "species": ["Li", "Li", "Li", "Nd", "Er", "Er", "Pb", "Pb", "Pb"],
  "frac_coords": [[0.000, 0.000, 0.000], [0.333, 0.667, 0.303], [0.333, 0.667, 0.697], [0.667, 0.333, 0.500], [0.667, 0.333, 0.160], [0.667, 0.333, 0.840], [0.000, 0.000, 0.318], [0.000, 0.000, 0.682], [0.333, 0.667, 0.000]]
}

---

Record order is preserved below.
Mass density: 10.83, 17.57, 8.52 Mg/m³